1.
A geometry-optimized LaDy6Er3Th2 structure. Source: the Alexandria database, functional PBE.

The structure in extended XYZ format:
```
12
Lattice="6.175 0.002 0.002 -3.085 5.349 0.002 -1.036 -1.794 11.552" Properties=species:S:1:pos:R:3 pbc="T T T"
La 0.000 0.000 0.000
Dy 3.097 1.746 8.666
Dy 2.045 3.542 2.895
Dy -1.042 1.812 2.891
Dy -0.035 3.555 8.666
Dy 0.009 0.016 8.662
Dy 2.090 0.003 2.891
Er -2.061 3.562 5.778
Er 4.116 -0.005 5.778
Er 1.027 1.779 5.778
Th 0.002 3.567 0.002
Th 3.089 1.784 0.002
```

Crystal system: monoclinic
E: -5.056 eV/atom
Calculated formation energy: 0.033 eV/atom



2.
A geometry-optimized LaDyEr2Th structure. Source: the Alexandria database, functional PBE.

The structure in extended XYZ format:
```
10
Lattice="-4.291 3.235 -1.735 -4.871 -7.112 -1.215 -2.329 0.464 6.625" Properties=species:S:1:pos:R:3 pbc="T T T"
La -4.869 -7.109 -1.214
La -10.324 -3.642 0.363
Dy -4.185 -3.212 4.361
Dy -7.311 -0.209 -0.687
Er -7.778 -2.742 4.934
Er -4.877 -0.439 2.055
Er -6.614 -2.974 1.621
Er -3.713 -0.670 -1.258
Th -7.598 -5.378 -0.426
Th -8.763 -5.146 2.887
```

Crystal system: orthorhombic
E: -4.925 eV/atom
Calculated formation energy: 0.290 eV/atom



3.
A geometry-optimized La2DyErTh structure. Source: the Alexandria database, functional PBE.

The structure in extended XYZ format:
```
10
Lattice="6.336 0.000 0.000 0.000 9.140 0.160 0.000 -2.211 6.115" Properties=species:S:1:pos:R:3 pbc="T T T"
La 4.397 4.399 5.235
La 4.397 1.425 4.097
La 1.939 5.504 2.177
La 1.939 2.530 1.040
Dy 1.058 2.912 4.666
Dy 5.278 4.017 1.609
Er 3.210 -0.553 1.529
Er 3.126 -1.658 4.586
Th 0.000 0.000 0.000
Th 0.000 -1.105 3.058
```

Crystal system: monoclinic
E: -4.965 eV/atom
Calculated formation energy: 0.323 eV/atom



4.
A geometry-optimized La5Dy2ErTh structure. Source: the Alexandria database, functional PBE.

The structure in extended XYZ format:
```
18
Lattice="5.507 0.000 0.000 -2.753 10.853 0.000 0.000 0.000 10.688" Properties=species:S:1:pos:R:3 pbc="T T T"
La 0.000 8.069 0.088
La 2.753 4.846 8.721
La 0.000 10.853 8.104
La 0.000 6.008 7.488
La 0.000 0.005 5.431
La 2.753 2.784 5.432
La 0.000 6.007 3.377
La 2.753 0.000 2.759
La 2.753 4.845 2.144
La 2.753 10.848 0.087
Dy 2.753 8.428 8.044
Dy 0.000 2.426 8.164
Dy 0.000 2.425 2.700
Dy 2.753 8.428 2.820
Er 2.753 2.227 0.087
Er 0.000 8.626 5.431
Th 2.753 6.280 5.432
Th 0.000 4.574 0.088
```

Crystal system: orthorhombic
E: -4.964 eV/atom
Calculated formation energy: 0.128 eV/atom



5.
A geometry-optimized LaDy2ErTl2 structure. Source: the Alexandria database, functional PBE.

The structure in extended XYZ format:
```
12
Lattice="5.180 0.000 0.000 0.000 6.833 0.000 0.000 0.000 10.116" Properties=species:S:1:pos:R:3 pbc="T T T"
La 0.000 6.534 4.623
La 0.000 3.118 5.494
Dy 2.590 0.347 0.459
Dy 0.000 2.303 1.823
Dy 2.590 3.763 9.658
Dy 0.000 5.720 8.294
Er 2.590 1.226 7.045
Er 2.590 4.642 3.071
Tl 0.000 2.041 8.770
Tl 2.590 1.526 3.641
Tl 0.000 5.457 1.346
Tl 2.590 4.942 6.475
```

Crystal system: orthorhombic
E: -4.171 eV/atom
Calculated formation energy: -0.266 eV/atom



6.
A geometry-optimized LaDyEr2Tl2 structure. Source: the Alexandria database, functional PBE.

The structure in extended XYZ format:
```
12
Lattice="-0.194 0.005 -5.159 1.622 -6.601 -0.067 -9.820 -2.416 0.366" Properties=species:S:1:pos:R:3 pbc="T T T"
La -2.946 -7.412 0.103
La -4.586 -4.315 0.168
Dy -6.642 -2.881 -2.336
Dy -1.970 -5.232 -2.514
Er -0.441 -0.442 -2.567
Er -1.219 -2.657 0.043
Er -8.595 -5.948 -2.266
Er -6.697 -7.505 0.244
Tl -8.058 -4.077 0.299
Tl -3.233 -2.316 -2.464
Tl 0.020 -5.590 -0.006
Tl -5.253 -6.313 -2.392
```

Crystal system: orthorhombic
E: -4.162 eV/atom
Calculated formation energy: -0.264 eV/atom



7.
A geometry-optimized LaDyEr2Tl4 structure. Source: the Alexandria database, functional PBE.

The structure in extended XYZ format:
```
8
Lattice="5.413 0.000 0.000 2.707 4.688 0.000 2.707 1.563 8.898" Properties=species:S:1:pos:R:3 pbc="T T T"
La 0.000 0.000 0.000
Dy 5.413 3.125 4.449
Er 8.120 4.688 6.652
Er 2.707 1.563 2.246
Tl 5.413 3.125 7.714
Tl 8.120 4.688 3.399
Tl 2.707 1.563 5.500
Tl 5.413 3.125 1.185
```

Crystal system: trigonal
E: -3.856 eV/atom
Calculated formation energy: -0.341 eV/atom



8.
A geometry-optimized La3Dy6ErTm2 structure. Source: the Alexandria database, functional PBE.

The structure in extended XYZ format:
```
12
Lattice="-3.945 -3.716 -3.027 4.411 -2.444 3.620 -7.454 2.383 8.914" Properties=species:S:1:pos:R:3 pbc="T T T"
La -0.710 -1.465 6.969
La -6.279 -2.312 2.538
La -3.494 -1.888 4.753
Dy -6.687 -3.044 6.087
Dy -1.462 -4.024 2.608
Dy -0.302 -0.733 3.420
Dy -3.900 -2.620 8.304
Dy -5.526 0.247 6.899
Dy -3.088 -1.157 1.203
Er 0.000 0.000 0.000
Tm 1.626 -2.868 1.405
Tm -1.160 -3.292 -0.811
```

Crystal system: monoclinic
E: -4.633 eV/atom
Calculated formation energy: 0.026 eV/atom



9.
A geometry-optimized La2DyEr2Tm2 structure. Source: the Alexandria database, functional PBE.

The structure in extended XYZ format:
```
7
Lattice="-0.806 1.962 2.792 -1.886 -5.689 1.251 8.490 -5.398 6.246" Properties=species:S:1:pos:R:3 pbc="T T T"
La 6.581 -5.586 8.028
La -0.783 -3.539 2.261
Dy 4.245 -2.699 3.123
Er 1.465 -3.569 5.133
Er 4.332 -5.557 5.156
Tm 4.439 -8.398 7.184
Tm 1.359 -0.727 3.105
```

Crystal system: monoclinic
E: -4.559 eV/atom
Calculated formation energy: 0.088 eV/atom



10.
A geometry-optimized LaDyEr3Tm structure. Source: the Alexandria database, functional PBE.

The structure in extended XYZ format:
```
12
Lattice="-2.964 2.414 -4.056 -5.568 0.968 8.474 3.233 6.235 1.349" Properties=species:S:1:pos:R:3 pbc="T T T"
La -1.917 7.610 5.930
La -3.382 2.008 -0.163
Dy -2.165 4.680 0.538
Dy -3.134 4.938 5.229
Er -5.322 4.417 2.689
Er -2.938 7.172 2.587
Er -5.807 3.802 6.506
Er -2.361 2.445 3.181
Er 0.508 5.816 -0.739
Er 0.023 5.201 3.078
Tm 0.171 2.074 1.109
Tm -5.470 7.544 4.658
```

Crystal system: monoclinic
E: -4.388 eV/atom
Calculated formation energy: 0.227 eV/atom



11.
A geometry-optimized La2DyErTm5 structure. Source: the Alexandria database, functional PBE.

The structure in extended XYZ format:
```
18
Lattice="5.606 0.000 0.000 -2.803 9.805 0.000 0.000 0.000 10.699" Properties=species:S:1:pos:R:3 pbc="T T T"
La 2.803 7.550 8.756
La 0.000 2.199 7.848
La 0.000 2.255 3.407
La 2.803 7.606 2.498
Dy 2.803 1.675 10.292
Dy 0.000 8.129 4.943
Er 2.803 5.860 5.469
Er 0.000 3.945 0.120
Tm 0.000 7.631 0.221
Tm 2.803 4.262 8.628
Tm 0.000 9.418 7.901
Tm 0.000 5.868 7.568
Tm 2.803 9.473 5.627
Tm 2.803 2.174 5.571
Tm 0.000 5.542 3.278
Tm 2.803 0.387 2.551
Tm 2.803 3.937 2.219
Tm 0.000 0.332 0.278
```

Crystal system: orthorhombic
E: -4.456 eV/atom
Calculated formation energy: 0.141 eV/atom



12.
A geometry-optimized LaDy2ErTm structure. Source: the Alexandria database, functional PBE.

The structure in extended XYZ format:
```
10
Lattice="7.218 0.000 0.000 0.000 8.400 0.000 0.000 -4.200 5.744" Properties=species:S:1:pos:R:3 pbc="T T T"
La 1.805 4.200 2.677
La 5.414 0.000 3.067
Dy 3.609 2.595 0.000
Dy 0.000 5.804 0.000
Dy 3.609 5.804 0.000
Dy 0.000 2.595 0.000
Er 1.805 0.000 0.045
Er 5.414 4.200 5.699
Tm 5.414 4.200 2.504
Tm 1.805 0.000 3.240
```

Crystal system: orthorhombic
E: -4.268 eV/atom
Calculated formation energy: 0.365 eV/atom



13.
A geometry-optimized La4Dy2Er2Tm structure. Source: the Alexandria database, functional PBE.

The structure in extended XYZ format:
```
9
Lattice="5.147 0.000 0.000 -2.574 7.698 0.044 0.000 -2.607 7.615" Properties=species:S:1:pos:R:3 pbc="T T T"
La 2.574 2.511 5.115
La 0.000 2.580 2.544
La 2.574 -0.034 2.507
La 0.000 5.125 5.152
Dy 2.574 5.119 2.531
Dy 0.000 -0.028 5.128
Er 0.000 2.511 7.644
Er 2.574 2.580 0.015
Tm 0.000 0.000 0.000
```

Crystal system: monoclinic
E: -4.689 eV/atom
Calculated formation energy: 0.035 eV/atom



14.
A geometry-optimized La2Dy4ErTm structure. Source: the Alexandria database, functional PBE.

The structure in extended XYZ format:
```
16
Lattice="-3.875 -4.784 7.972 -0.224 -8.683 -5.321 8.680 8.013 -3.695" Properties=species:S:1:pos:R:3 pbc="T T T"
La -1.937 -2.392 3.986
La 2.404 1.616 2.135
La 4.114 -4.678 -7.164
La 6.630 1.279 -2.369
Dy 7.526 0.334 -5.739
Dy 1.392 -1.761 2.746
Dy 3.189 -3.692 -3.788
Dy -2.943 -5.788 4.697
Dy 5.552 -2.103 -1.687
Dy 1.284 -6.040 0.123
Dy 3.297 0.585 -1.168
Dy -0.972 -3.351 0.642
Er -0.112 -4.342 -2.661
Er 0.353 -5.119 3.463
Tm 2.290 -2.728 -0.520
Tm 8.455 -0.671 -9.015
```

Crystal system: monoclinic
E: -4.631 eV/atom
Calculated formation energy: 0.031 eV/atom



15.
A geometry-optimized LaDyErTm2 structure. Source: the Alexandria database, functional PBE.

The structure in extended XYZ format:
```
10
Lattice="7.201 0.000 0.000 0.000 8.369 0.000 0.000 -4.185 5.724" Properties=species:S:1:pos:R:3 pbc="T T T"
La 1.800 4.185 2.664
La 5.401 0.000 3.059
Dy 1.800 0.000 0.028
Dy 5.401 4.185 5.695
Er 5.401 4.185 2.479
Er 1.800 0.000 3.245
Tm 3.601 2.602 0.000
Tm 0.000 5.767 0.000
Tm 3.601 5.767 0.000
Tm 0.000 2.602 0.000
```

Crystal system: orthorhombic
E: -4.245 eV/atom
Calculated formation energy: 0.362 eV/atom



16.
A geometry-optimized LaDy4Er2Tm structure. Source: the Alexandria database, functional PBE.

The structure in extended XYZ format:
```
16
Lattice="-1.983 -6.608 -1.675 10.364 -4.366 4.957 -7.571 9.008 3.511" Properties=species:S:1:pos:R:3 pbc="T T T"
La 0.404 -0.982 3.396
La 0.812 -1.967 6.791
Dy 7.237 -4.936 3.300
Dy -2.721 -1.553 1.741
Dy 3.531 -0.411 5.050
Dy -6.427 2.970 3.493
Dy 6.257 -8.203 2.470
Dy 2.529 -3.753 4.205
Dy -1.719 1.788 2.587
Dy -5.446 6.237 4.323
Er -8.561 5.703 2.673
Er -4.778 1.201 0.918
Er 6.578 0.139 6.712
Er -3.380 3.521 5.151
Tm -4.371 0.217 4.314
Tm 1.396 2.322 4.234
```

Crystal system: orthorhombic
E: -4.595 eV/atom
Calculated formation energy: 0.022 eV/atom



17.
A geometry-optimized LaDy6Er2Tm3 structure. Source: the Alexandria database, functional PBE.

The structure in extended XYZ format:
```
12
Lattice="-0.776 5.948 1.264 -2.718 -4.250 3.482 10.426 -0.825 5.339" Properties=species:S:1:pos:R:3 pbc="T T T"
La 0.000 0.000 0.000
Dy 5.496 2.361 7.162
Dy 0.023 1.065 4.914
Dy 1.436 -1.487 2.923
Dy 4.846 -1.053 7.904
Dy 6.909 -0.191 5.170
Dy 2.086 1.927 2.180
Er -2.071 -0.851 2.743
Er -1.423 2.549 2.003
Tm 2.819 -2.958 5.781
Tm 4.112 3.831 4.304
Tm 3.466 0.437 5.042
```

Crystal system: monoclinic
E: -4.566 eV/atom
Calculated formation energy: 0.025 eV/atom



18.
A geometry-optimized LaDy4ErTm2 structure. Source: the Alexandria database, functional PBE.

The structure in extended XYZ format:
```
16
Lattice="10.033 0.441 0.220 -0.327 9.293 -3.710 -4.860 -7.657 8.268" Properties=species:S:1:pos:R:3 pbc="T T T"
La 2.422 1.038 2.390
La 0.002 0.002 0.001
Dy -2.580 -0.617 5.542
Dy 5.029 -1.215 3.370
Dy -0.184 3.293 1.405
Dy 7.423 2.693 -0.765
Dy 7.265 7.270 -2.591
Dy 4.862 3.502 1.488
Dy -0.017 -1.426 3.291
Dy -2.418 -5.191 7.369
Er 5.008 -2.571 6.632
Er 7.439 1.259 2.498
Tm -0.173 1.856 4.667
Tm 2.259 5.686 0.533
Tm 7.275 5.905 0.644
Tm 4.854 4.868 -1.745
```

Crystal system: monoclinic
E: -4.583 eV/atom
Calculated formation energy: 0.022 eV/atom



19.
A geometry-optimized LaDy2ErTm5 structure. Source: the Alexandria database, functional PBE.

The structure in extended XYZ format:
```
18
Lattice="-1.134 -8.393 -2.704 3.591 2.051 -7.870 5.380 1.451 7.855" Properties=species:S:1:pos:R:3 pbc="T T T"
La 3.305 -0.860 1.284
La 4.533 -4.031 -4.004
Dy 1.263 -0.152 -3.353
Dy -0.290 -4.912 -2.545
Dy 2.747 -1.431 -8.030
Dy 1.194 -6.190 -7.222
Er 5.100 0.165 -2.651
Er 2.737 -5.057 -0.068
Tm 1.886 -6.518 -3.800
Tm 3.810 -4.167 2.712
Tm 5.952 1.626 1.081
Tm 4.054 -0.155 4.772
Tm 5.708 -2.386 -0.980
Tm 3.784 -4.737 -7.492
Tm 2.130 -2.506 -1.740
Tm 4.028 -0.725 -5.432
Tm 1.229 -3.171 -5.287
Tm 0.000 0.000 0.000
```

Crystal system: tetragonal
E: -4.275 eV/atom
Calculated formation energy: 0.286 eV/atom



20.
A geometry-optimized La2Dy2Er2Tm structure. Source: the Alexandria database, functional PBE.

The structure in extended XYZ format:
```
7
Lattice="-3.396 -0.465 -0.574 3.117 -8.667 -0.901 -1.732 3.020 7.799" Properties=species:S:1:pos:R:3 pbc="T T T"
La -2.866 -0.091 6.507
La 0.855 -6.022 -0.184
Dy -0.098 -5.366 4.920
Dy -1.914 -0.746 1.403
Er -1.535 -4.228 1.985
Er -0.476 -1.884 4.338
Tm -0.866 1.510 3.899
```

Crystal system: monoclinic
E: -4.515 eV/atom
Calculated formation energy: 0.150 eV/atom



Number 1: density of states at the Fermi level 17.8 states/eV/cell. Number 2: density of states at the Fermi level 16.5 states/eV/cell. Number 3: density of states at the Fermi level 15.1 states/eV/cell. Number 4: density of states at the Fermi level 26.0 states/eV/cell. Number 5: density of states at the Fermi level 12.7 states/eV/cell. Number 6: density of states at the Fermi level 12.4 states/eV/cell. Number 7: density of states at the Fermi level 6.7 states/eV/cell. Number 8: density of states at the Fermi level 17.2 states/eV/cell. Number 9: density of states at the Fermi level 11.2 states/eV/cell. Number 10: density of states at the Fermi level 17.7 states/eV/cell. Number 11: density of states at the Fermi level 23.1 states/eV/cell. Number 12: density of states at the Fermi level 13.6 states/eV/cell. Number 13: density of states at the Fermi level 15.9 states/eV/cell. Number 14: density of states at the Fermi level 24.1 states/eV/cell. Number 15: density of states at the Fermi level 13.8 states/eV/cell. Number 16: density of states at the Fermi level 20.5 states/eV/cell. Number 17: density of states at the Fermi level 16.0 states/eV/cell. Number 18: density of states at the Fermi level 20.0 states/eV/cell. Number 19: density of states at the Fermi level 22.3 states/eV/cell. Number 20: density of states at the Fermi level 12.8 states/eV/cell.